[1]
DFT (GGA-PBE) results for a relaxed LiMg2Cd crystal.

a = 4.7201 Å, b = 4.7201 Å, c = 8.9122 Å
α = 90.00°, β = 90.00°, γ = 120.00°
With the nearest neighbours (Å) after each atom.
Space group P6_3/mmc (No. 194)
Asymmetric unit:
Li: 0.3333 0.6667 0.2500 x2  3 Cd 2.73, 2 Mg 2.96
Mg: 0.3333 0.6667 0.5824 x4  4 Li 2.96-3.11, 4 Mg 2.99-3.10, 3 Cd 3.11
Cd: 0.0000 0.0000 0.2500 x2  3 Li 2.73

Calculated values
Crystal system: hexagonal
Total energy, eV per atom: -1.513

[2]
DFT (GGA-PBE) results for a relaxed NaBeNiSb crystal.

a = 6.3149 Å, b = 6.3149 Å, c = 6.3149 Å
α = 90.00°, β = 90.00°, γ = 90.00°
With the nearest neighbours (Å) after each atom.
Space group F-43m (No. 216)
Asymmetric unit:
Na: 0.0000 0.0000 0.0000 x4  4 Sb 2.73, 4 Ni 2.73
Be: 0.0000 0.0000 0.5000 x4  4 Sb 2.73, 4 Ni 2.73
Ni: 0.2500 0.2500 0.2500 x4  4 Na 2.73, 4 Be 2.73
Sb: 0.2500 0.2500 0.7500 x4  4 Na 2.73, 4 Be 2.73

Calculated values
Crystal system: cubic
Offset from the most stable computed form, meV/atom: 139

[3]
DFT (GGA-PBE) results for a relaxed BeCoCu4B2 crystal.

a = 3.5650 Å, b = 3.5650 Å, c = 6.0608 Å
α = 90.00°, β = 90.00°, γ = 90.00°
With the nearest neighbours (Å) after each atom.
Space group P4/mmm (No. 123)
Asymmetric unit:
Be: 0.0000 0.0000 0.0000 x1  8 Cu 2.25
Co: 0.5000 0.5000 0.5000 x1  8 Cu 2.43, 4 B 2.52
Cu: 0.0000 0.5000 0.2265 x4  2 Be 2.25, 4 B 2.25-2.43, 2 Co 2.43
B: 0.0000 0.0000 0.5000 x1  8 Cu 2.43, 4 Co 2.52
B: 0.5000 0.5000 0.0000 x1  8 Cu 2.25

Calculated values
Crystal system: tetragonal
Offset from the most stable computed form, meV/atom: 5